(1)
# Ce3Tl4PbS8

Crystalline Ce3Tl4PbS8 at its relaxed geometry (GGA-PBE, the Alexandria database).

Cell and atoms, written as CIF:
```
data_Ce3Tl4PbS8
_space_group_name_H-M_alt 'P 1'
_space_group_IT_number 1
_cell_length_a 8.8682
_cell_length_b 8.8682
_cell_length_c 8.8682
_cell_angle_alpha 56.71
_cell_angle_beta 56.71
_cell_angle_gamma 56.71
loop_
_space_group_symop_operation_xyz
'x,y,z'
loop_
_atom_site_label
_atom_site_type_symbol
_atom_site_fract_x
_atom_site_fract_y
_atom_site_fract_z
Ce1 Ce 0.0000 0.5000 0.5000
Ce2 Ce 0.5000 0.0000 0.5000
Ce3 Ce 0.5000 0.5000 0.0000
Tl1 Tl 0.0000 0.0000 0.5000
Tl2 Tl 0.0000 0.5000 0.0000
Tl3 Tl 0.5000 0.0000 0.0000
Tl4 Tl 0.5000 0.5000 0.5000
Pb1 Pb 0.0000 0.0000 0.0000
S1 S 0.2427 0.2427 0.7181
S2 S 0.2427 0.7181 0.2427
S3 S 0.2662 0.2662 0.2662
S4 S 0.2819 0.7573 0.7573
S5 S 0.7181 0.2427 0.2427
S6 S 0.7338 0.7338 0.7338
S7 S 0.7573 0.2819 0.7573
S8 S 0.7573 0.7573 0.2819
```


(2)
# Ce2Tl3PbS6

Crystalline Ce2Tl3PbS6 at its relaxed geometry (GGA-PBE, the Alexandria database).

Cell and atoms, written as CIF:
```
data_Ce2Tl3PbS6
_space_group_name_H-M_alt 'P 1'
_space_group_IT_number 1
_cell_length_a 7.2799
_cell_length_b 7.2799
_cell_length_c 7.7975
_cell_angle_alpha 98.91
_cell_angle_beta 98.91
_cell_angle_gamma 119.86
loop_
_space_group_symop_operation_xyz
'x,y,z'
loop_
_atom_site_label
_atom_site_type_symbol
_atom_site_fract_x
_atom_site_fract_y
_atom_site_fract_z
Ce1 Ce 0.1671 0.8329 0.0000
Ce2 Ce 0.8329 0.1671 0.0000
Tl1 Tl 0.0000 0.0000 0.5000
Tl2 Tl 0.3380 0.6620 0.5000
Tl3 Tl 0.6620 0.3380 0.5000
Pb1 Pb 0.5000 0.5000 0.0000
S1 S 0.0761 0.4311 0.7930
S2 S 0.2124 0.2124 0.2007
S3 S 0.4311 0.0761 0.7930
S4 S 0.5689 0.9239 0.2070
S5 S 0.7876 0.7876 0.7993
S6 S 0.9239 0.5689 0.2070
```


(3)
# CeTl2PbS4

Crystalline CeTl2PbS4 at its relaxed geometry (GGA-PBE, the Alexandria database).

Cell and atoms, written as CIF:
```
data_CeTl2PbS4
_space_group_name_H-M_alt 'P 1'
_space_group_IT_number 1
_cell_length_a 7.3076
_cell_length_b 4.2018
_cell_length_c 7.7523
_cell_angle_alpha 90.00
_cell_angle_beta 107.97
_cell_angle_gamma 90.00
loop_
_space_group_symop_operation_xyz
'x,y,z'
loop_
_atom_site_label
_atom_site_type_symbol
_atom_site_fract_x
_atom_site_fract_y
_atom_site_fract_z
Ce1 Ce 0.0000 0.0000 0.0000
Tl1 Tl 0.0000 0.5000 0.5000
Tl2 Tl 0.5000 0.0000 0.5000
Pb1 Pb 0.5000 0.5000 0.0000
S1 S 0.2154 0.5000 0.2024
S2 S 0.2371 0.0000 0.7920
S3 S 0.7629 0.0000 0.2080
S4 S 0.7846 0.5000 0.7976
```


(4)
# CeTl3Pb2S6

Crystalline CeTl3Pb2S6 at its relaxed geometry (GGA-PBE, the Alexandria database).

Cell and atoms, written as CIF:
```
data_CeTl3Pb2S6
_space_group_name_H-M_alt 'P 1'
_space_group_IT_number 1
_cell_length_a 7.3183
_cell_length_b 7.3183
_cell_length_c 7.5492
_cell_angle_alpha 99.10
_cell_angle_beta 99.10
_cell_angle_gamma 119.89
loop_
_space_group_symop_operation_xyz
'x,y,z'
loop_
_atom_site_label
_atom_site_type_symbol
_atom_site_fract_x
_atom_site_fract_y
_atom_site_fract_z
Ce1 Ce 0.0000 0.0000 0.0000
Tl1 Tl 0.1673 0.8327 0.5000
Tl2 Tl 0.5000 0.5000 0.5000
Tl3 Tl 0.8327 0.1673 0.5000
Pb1 Pb 0.3337 0.6663 0.0000
Pb2 Pb 0.6663 0.3337 0.0000
S1 S 0.0702 0.3840 0.2151
S2 S 0.2383 0.2383 0.7788
S3 S 0.3840 0.0702 0.2151
S4 S 0.6160 0.9298 0.7849
S5 S 0.7617 0.7617 0.2212
S6 S 0.9298 0.6160 0.7849
```


(5)
# CeTm4PbS8

Crystalline CeTm4PbS8 at its relaxed geometry (GGA-PBE, the Alexandria database).

Cell and atoms, written as CIF:
```
data_CeTm4PbS8
_space_group_name_H-M_alt 'P 1'
_space_group_IT_number 1
_cell_length_a 8.2308
_cell_length_b 8.2308
_cell_length_c 8.2308
_cell_angle_alpha 58.32
_cell_angle_beta 58.32
_cell_angle_gamma 58.32
loop_
_space_group_symop_operation_xyz
'x,y,z'
loop_
_atom_site_label
_atom_site_type_symbol
_atom_site_fract_x
_atom_site_fract_y
_atom_site_fract_z
Ce1 Ce 0.0000 0.0000 0.0000
Tm1 Tm 0.4941 0.9994 0.9994
Tm2 Tm 0.6244 0.6244 0.6244
Tm3 Tm 0.9994 0.4941 0.9994
Tm4 Tm 0.9994 0.9994 0.4941
Pb1 Pb 0.3699 0.3699 0.3699
S1 S 0.2295 0.7483 0.7483
S2 S 0.2314 0.2314 0.2314
S3 S 0.2431 0.2431 0.7870
S4 S 0.2431 0.7870 0.2431
S5 S 0.7483 0.2295 0.7483
S6 S 0.7483 0.7483 0.2295
S7 S 0.7555 0.7555 0.7555
S8 S 0.7870 0.2431 0.2431
```


(6)
# CeZnPb2S5

Crystalline CeZnPb2S5 at its relaxed geometry (GGA-PBE, the Alexandria database).

Cell and atoms, written as CIF:
```
data_CeZnPb2S5
_space_group_name_H-M_alt 'P 1'
_space_group_IT_number 1
_cell_length_a 8.9461
_cell_length_b 8.9461
_cell_length_c 12.7107
_cell_angle_alpha 90.00
_cell_angle_beta 90.00
_cell_angle_gamma 153.93
loop_
_space_group_symop_operation_xyz
'x,y,z'
loop_
_atom_site_label
_atom_site_type_symbol
_atom_site_fract_x
_atom_site_fract_y
_atom_site_fract_z
Ce1 Ce 0.2054 0.7946 0.5000
Ce2 Ce 0.7946 0.2054 0.0000
Zn1 Zn 0.4420 0.5580 0.9045
Zn2 Zn 0.5580 0.4420 0.4045
Pb1 Pb 0.0930 0.9070 0.1304
Pb2 Pb 0.1215 0.8785 0.7939
Pb3 Pb 0.8785 0.1215 0.2939
Pb4 Pb 0.9070 0.0930 0.6304
S1 S 0.0464 0.9536 0.5050
S2 S 0.2879 0.7121 0.1430
S3 S 0.3073 0.6927 0.8573
S4 S 0.3606 0.6394 0.4750
S5 S 0.4954 0.5046 0.2455
S6 S 0.5046 0.4954 0.7455
S7 S 0.6394 0.3606 0.9750
S8 S 0.6927 0.3073 0.3573
S9 S 0.7121 0.2879 0.6430
S10 S 0.9536 0.0464 0.0050
```


Energy relative to the elements, uncorrected values, unit eV per atom, following the record order: -1.21; -1.14; -0.96; -0.74; -1.73; -0.96.